Record 1
## ScFe2Hg (GGA-PBE)

Data for ScFe2Hg after structural relaxation.

CIF file:
```
data_ScFe2Hg
_chemical_formula_sum 'Sc4 Fe8 Hg4'
_cell_length_a 3.914
_cell_length_b 3.914
_cell_length_c 18.786
_cell_angle_alpha 90.00
_cell_angle_beta 90.00
_cell_angle_gamma 90.00
_symmetry_space_group_name_H-M 'I -4 2 d'
_symmetry_Int_Tables_number 122
_symmetry_space_group_name_Hall 'I -4 2bw'
loop_
_atom_site_label
_atom_site_fract_x
_atom_site_fract_y
_atom_site_fract_z
Sc1 0.000 0.000 0.000
Fe1 0.231 0.250 0.125
Hg1 0.000 0.000 0.500
```

Energy of formation (eV/atom): 0.45
Density of states at the Fermi level (states/eV per cell): 13.471

***

Record 2
## Sc2Fe2Hg (GGA-PBE)

Data for Sc2Fe2Hg after structural relaxation.

CIF file:
```
data_Sc2Fe2Hg
_chemical_formula_sum 'Sc4 Fe4 Hg2'
_cell_length_a 6.970
_cell_length_b 6.970
_cell_length_c 3.632
_cell_angle_alpha 90.00
_cell_angle_beta 90.00
_cell_angle_gamma 90.00
_symmetry_space_group_name_H-M 'P 4/m b m'
_symmetry_Int_Tables_number 127
_symmetry_space_group_name_Hall '-P 4 2ab'
loop_
_atom_site_label
_atom_site_fract_x
_atom_site_fract_y
_atom_site_fract_z
Sc1 0.173 0.327 0.000
Fe1 0.114 0.614 0.500
Hg1 0.000 0.000 0.500
```

Energy of formation (eV/atom): -0.14
Density of states at the Fermi level (states/eV per cell): 6.519

***

Record 3
## Sc3FeHg (GGA-PBE)

Data for Sc3FeHg after structural relaxation.

CIF file:
```
data_Sc3FeHg
_chemical_formula_sum 'Sc3 Fe1 Hg1'
_cell_length_a 5.202
_cell_length_b 5.202
_cell_length_c 5.202
_cell_angle_alpha 90.00
_cell_angle_beta 90.00
_cell_angle_gamma 90.00
_symmetry_space_group_name_H-M 'P m -3 m'
_symmetry_Int_Tables_number 221
_symmetry_space_group_name_Hall '-P 4 2 3'
loop_
_atom_site_label
_atom_site_fract_x
_atom_site_fract_y
_atom_site_fract_z
Sc1 0.000 0.000 0.500
Fe1 0.500 0.500 0.500
Hg1 0.000 0.000 0.000
```

Offset from the most stable computed form (meV per atom): 1150.8
Energy of formation (eV/atom): 1.10
Density of states at the Fermi level (states/eV per cell): 15.991

***

Record 4
## ScFeHg3 (GGA-PBE)

Data for ScFeHg3 after structural relaxation.

CIF file:
```
data_ScFeHg3
_chemical_formula_sum 'Sc1 Fe1 Hg3'
_cell_length_a 4.934
_cell_length_b 4.934
_cell_length_c 4.934
_cell_angle_alpha 90.00
_cell_angle_beta 90.00
_cell_angle_gamma 90.00
_symmetry_space_group_name_H-M 'P m -3 m'
_symmetry_Int_Tables_number 221
_symmetry_space_group_name_Hall '-P 4 2 3'
loop_
_atom_site_label
_atom_site_fract_x
_atom_site_fract_y
_atom_site_fract_z
Sc1 0.000 0.000 0.000
Fe1 0.500 0.500 0.500
Hg1 0.000 0.500 0.500
```

Offset from the most stable computed form (meV per atom): 0.0
Energy of formation (eV/atom): 0.53
Density of states at the Fermi level (states/eV per cell): 13.887

***

Record 5
## Sc6Fe2Hg (GGA-PBE)

Data for Sc6Fe2Hg after structural relaxation.

CIF file:
```
data_Sc6Fe2Hg
_chemical_formula_sum 'Sc24 Fe8 Hg4'
_cell_length_a 8.726
_cell_length_b 8.872
_cell_length_c 9.363
_cell_angle_alpha 90.00
_cell_angle_beta 90.00
_cell_angle_gamma 90.00
_symmetry_space_group_name_H-M 'I m m m'
_symmetry_Int_Tables_number 71
_symmetry_space_group_name_Hall '-I 2 2'
loop_
_atom_site_label
_atom_site_fract_x
_atom_site_fract_y
_atom_site_fract_z
Sc1 0.000 0.217 0.231
Sc2 0.206 0.500 0.187
Sc3 0.211 0.307 0.500
Fe1 0.000 0.378 0.000
Fe2 0.000 0.500 0.386
Hg1 0.000 0.000 0.000
Hg2 0.000 0.000 0.500
```

Energy of formation (eV/atom): -0.21
Density of states at the Fermi level (states/eV per cell): 42.695

***

Record 6
## Sc4FeHg (GGA-PBE)

Data for Sc4FeHg after structural relaxation.

CIF file:
```
data_Sc4FeHg
_chemical_formula_sum 'Sc16 Fe4 Hg4'
_cell_length_a 8.014
_cell_length_b 8.014
_cell_length_c 8.014
_cell_angle_alpha 90.00
_cell_angle_beta 90.00
_cell_angle_gamma 90.00
_symmetry_space_group_name_H-M 'F -4 3 m'
_symmetry_Int_Tables_number 216
_symmetry_space_group_name_Hall 'F -4 2 3'
loop_
_atom_site_label
_atom_site_fract_x
_atom_site_fract_y
_atom_site_fract_z
Sc1 0.125 0.125 0.125
Fe1 0.250 0.250 0.750
Hg1 0.000 0.000 0.500
```

Offset from the most stable computed form (meV per atom): 694.4
Energy of formation (eV/atom): 0.45
Density of states at the Fermi level (states/eV per cell): 29.027